Entry 1:
Here is a geometry-optimized AsIOF2 structure from Alexandria via LeMat-Bulk. Energies are from PBE. Values from VASP.

Computed properties:
energy = -3.690 eV per atom
offset from the most stable computed form = 0 meV/atom
total magnetic moment = 0.00 μB per formula unit

```
&SYSTEM
  ibrav = 0, nat = 5, ntyp = 4
/
ATOMIC_SPECIES
I 126.90 I.upf
As 74.92 As.upf
O 16.00 O.upf
F 19.00 F.upf
CELL_PARAMETERS angstrom
-3.088 -1.115 -2.477
-1.685 -2.155 3.070
-2.434 3.793 1.327
ATOMIC_POSITIONS angstrom
I -3.603 0.262 0.960
As 0.000 0.000 0.000
O -1.217 1.897 0.664
F -0.842 -1.078 1.535
F -1.544 -0.557 -1.238
```



Entry 2:
Here is a geometry-optimized AsI2OF structure from Alexandria via LeMat-Bulk. Energies are from PBE. Values from VASP.

Computed properties:
energy = -2.164 eV per atom
offset from the most stable computed form = 872 meV/atom
total magnetic moment = 0.00 μB per formula unit

```
&SYSTEM
  ibrav = 0, nat = 5, ntyp = 4
/
ATOMIC_SPECIES
I 126.90 I.upf
As 74.92 As.upf
O 16.00 O.upf
F 19.00 F.upf
CELL_PARAMETERS angstrom
5.179 0.000 0.000
0.000 5.179 0.000
0.000 0.000 3.881
ATOMIC_POSITIONS angstrom
I 0.000 2.589 0.000
I 2.589 0.000 0.000
As 2.589 2.589 1.941
O 0.000 0.000 1.941
F 0.000 0.000 0.000
```



Entry 3:
Here is a geometry-optimized AsI2OF structure from Alexandria via LeMat-Bulk. Energies are from PBE. Values from VASP.

Computed properties:
energy = -3.035 eV per atom
offset from the most stable computed form = 0 meV/atom
total magnetic moment = 0.00 μB per formula unit

```
&SYSTEM
  ibrav = 0, nat = 5, ntyp = 4
/
ATOMIC_SPECIES
I 126.90 I.upf
As 74.92 As.upf
O 16.00 O.upf
F 19.00 F.upf
CELL_PARAMETERS angstrom
5.789 0.000 0.000
0.000 5.789 0.000
0.000 0.000 3.673
ATOMIC_POSITIONS angstrom
I 0.000 2.895 0.000
I 2.895 0.000 0.000
As 0.000 0.000 0.000
O 0.000 0.000 1.837
F 2.895 2.895 1.837
```



Entry 4:
Here is a geometry-optimized AsIOF2 structure from Alexandria via LeMat-Bulk. Energies are from PBE. Values from VASP.

Computed properties:
energy = -2.986 eV per atom
offset from the most stable computed form = 703 meV/atom
total magnetic moment = 2.31 μB per formula unit

```
&SYSTEM
  ibrav = 0, nat = 5, ntyp = 4
/
ATOMIC_SPECIES
I 126.90 I.upf
As 74.92 As.upf
O 16.00 O.upf
F 19.00 F.upf
CELL_PARAMETERS angstrom
-3.114 3.693 0.701
-0.583 -1.374 4.647
3.051 2.367 1.083
ATOMIC_POSITIONS angstrom
I 0.000 0.000 0.000
As -0.323 2.343 3.215
O 1.526 1.183 0.541
F -0.292 -0.687 2.323
F -1.557 1.846 0.351
```



Entry 5:
Here is a geometry-optimized As2OsIF structure from Alexandria via LeMat-Bulk. Energies are from PBE. Values from VASP.

Computed properties:
energy = -3.358 eV per atom
total magnetic moment = 2.50 μB per formula unit

```
&SYSTEM
  ibrav = 0, nat = 5, ntyp = 4
/
ATOMIC_SPECIES
I 126.90 I.upf
As 74.92 As.upf
Os 190.23 Os.upf
F 19.00 F.upf
CELL_PARAMETERS angstrom
5.313 0.000 0.000
0.000 4.245 0.000
0.000 0.000 5.313
ATOMIC_POSITIONS angstrom
I 0.000 0.000 0.000
As 0.000 0.000 2.657
As 2.657 0.000 0.000
Os 2.657 2.123 2.657
F 0.000 2.123 0.000
```



Entry 6:
Here is a geometry-optimized Rb2AsIF6 structure from Alexandria via LeMat-Bulk. Energies are from PBE. Values from VASP.

Computed properties:
energy = -4.082 eV per atom
total magnetic moment = 0.00 μB per formula unit

```
&SYSTEM
  ibrav = 0, nat = 10, ntyp = 4
/
ATOMIC_SPECIES
I 126.90 I.upf
As 74.92 As.upf
Rb 85.47 Rb.upf
F 19.00 F.upf
CELL_PARAMETERS angstrom
-2.267 -5.313 -4.050
-2.116 -3.485 5.756
-6.672 -2.232 0.518
ATOMIC_POSITIONS angstrom
I 0.000 0.000 0.000
As -2.192 -4.399 0.853
Rb -5.565 -5.972 -1.339
Rb -5.490 -5.058 3.564
F -3.801 -3.620 0.733
F -7.254 -7.410 1.492
F -1.404 -2.818 0.547
F -2.979 -5.980 1.160
F -2.218 -4.727 -0.909
F -2.165 -4.071 2.615
```



Entry 7:
Here is a geometry-optimized Rb3AsI2F6 structure from Alexandria via LeMat-Bulk. Energies are from PBE. Values from VASP.

Computed properties:
energy = -3.885 eV per atom
total magnetic moment = 0.00 μB per formula unit

```
&SYSTEM
  ibrav = 0, nat = 12, ntyp = 4
/
ATOMIC_SPECIES
Rb 85.47 Rb.upf
As 74.92 As.upf
I 126.90 I.upf
F 19.00 F.upf
CELL_PARAMETERS angstrom
5.637 0.000 0.244
0.000 8.234 0.000
-0.610 -4.117 8.459
ATOMIC_POSITIONS angstrom
Rb 0.000 4.117 0.000
Rb 2.513 2.059 4.351
Rb 2.513 -2.059 4.351
As 2.819 0.000 0.122
I 5.364 4.117 3.668
I -0.338 0.000 5.035
F 4.055 1.267 0.246
F 0.971 2.850 8.457
F 2.385 4.117 6.796
F 2.642 0.000 1.907
F 0.971 -2.850 8.457
F 4.055 6.967 0.246
```



Entry 8:
Here is a geometry-optimized Sb3As2S14I3F24 structure from Alexandria via LeMat-Bulk. Energies are from PBE. Values from VASP.

Computed properties:
energy = -4.238 eV per atom
total magnetic moment = 0.00 μB per formula unit

```
&SYSTEM
  ibrav = 0, nat = 46, ntyp = 5
/
ATOMIC_SPECIES
Sb 121.76 Sb.upf
As 74.92 As.upf
S 32.06 S.upf
I 126.90 I.upf
F 19.00 F.upf
CELL_PARAMETERS angstrom
-4.525 -1.713 -6.989
-3.817 -8.097 3.478
-11.904 3.100 5.502
ATOMIC_POSITIONS angstrom
Sb -10.849 -0.537 1.053
Sb -9.397 -6.172 0.938
Sb 0.000 0.000 0.000
As -15.084 0.322 2.621
As -5.162 -7.031 -0.630
S -15.969 -6.903 0.688
S -14.250 -4.110 0.839
S -5.996 -2.600 1.152
S -7.484 -4.538 -4.535
S -12.761 -2.172 6.526
S -6.075 -0.565 1.746
S -14.075 -3.027 -0.837
S -7.450 -2.147 -4.166
S -4.277 0.194 1.303
S -6.171 -3.682 2.829
S -14.171 -6.144 0.245
S -12.796 -4.563 6.157
S -8.595 -5.256 -3.170
S -11.651 -1.453 5.161
I -11.711 -4.699 4.082
I -7.861 -2.498 4.490
I -8.535 -2.011 -2.091
F -9.184 -1.347 0.444
F -11.366 -2.194 1.860
F -9.960 -0.024 2.674
F -10.334 1.108 0.220
F -15.277 -1.115 1.602
F -8.606 -5.619 2.601
F -8.880 -4.515 0.131
F -9.912 -7.818 1.771
F -7.749 -6.976 0.359
F -4.969 -5.594 0.390
F -5.708 -6.127 -2.056
F -15.027 0.116 -1.793
F -4.889 -2.743 -2.373
F -14.538 -0.583 4.047
F -16.380 -5.298 7.196
F -5.219 -6.826 3.785
F -15.357 -3.967 4.365
F -12.497 0.266 1.632
F -1.159 -1.394 0.657
F -11.062 -5.362 1.547
F -11.640 -1.090 -0.610
F -10.286 -6.685 -0.683
F -3.866 -1.412 -5.205
F -19.087 -5.315 1.334
```



Entry 9:
Here is a geometry-optimized Sb2AsIF structure from Alexandria via LeMat-Bulk. Energies are from PBE. Values from VASP.

Computed properties:
energy = -2.903 eV per atom
offset from the most stable computed form = 148 meV/atom
total magnetic moment = 0.52 μB per formula unit

```
&SYSTEM
  ibrav = 0, nat = 5, ntyp = 4
/
ATOMIC_SPECIES
I 126.90 I.upf
Sb 121.76 Sb.upf
As 74.92 As.upf
F 19.00 F.upf
CELL_PARAMETERS angstrom
-3.836 -3.799 0.145
1.324 -1.142 5.111
-3.705 3.810 1.811
ATOMIC_POSITIONS angstrom
I -1.853 1.905 0.905
Sb 0.662 -0.571 2.555
Sb -1.918 -1.900 0.072
As 0.000 0.000 0.000
F -3.109 -0.565 3.533
```



Entry 10:
Here is a geometry-optimized Sb2AsIF structure from Alexandria via LeMat-Bulk. Energies are from PBE. Values from VASP.

Computed properties:
energy = -3.050 eV per atom
offset from the most stable computed form = 0 meV/atom
total magnetic moment = 0.00 μB per formula unit

```
&SYSTEM
  ibrav = 0, nat = 5, ntyp = 4
/
ATOMIC_SPECIES
I 126.90 I.upf
Sb 121.76 Sb.upf
As 74.92 As.upf
F 19.00 F.upf
CELL_PARAMETERS angstrom
-2.794 0.343 3.745
-2.852 -3.234 -1.832
3.134 -4.313 2.734
ATOMIC_POSITIONS angstrom
I 1.567 -2.157 1.367
Sb -1.426 -1.617 -0.916
Sb -1.397 0.172 1.872
As -1.256 -3.602 2.324
F 0.000 0.000 0.000
```



Entry 11:
Here is a geometry-optimized SbAsI2F structure from Alexandria via LeMat-Bulk. Energies are from PBE. Values from VASP.

Computed properties:
energy = -2.538 eV per atom
offset from the most stable computed form = 73 meV/atom
total magnetic moment = 0.72 μB per formula unit

```
&SYSTEM
  ibrav = 0, nat = 5, ntyp = 4
/
ATOMIC_SPECIES
I 126.90 I.upf
Sb 121.76 Sb.upf
As 74.92 As.upf
F 19.00 F.upf
CELL_PARAMETERS angstrom
-1.699 -0.403 -5.306
1.513 -5.377 -0.076
-5.031 -1.440 1.721
ATOMIC_POSITIONS angstrom
I 0.757 -2.688 -0.038
I -0.850 -0.202 -2.653
Sb -2.515 -0.720 0.860
As 0.000 0.000 0.000
F -2.609 -3.610 -1.831
```



Entry 12:
Here is a geometry-optimized SbAsI2F structure from Alexandria via LeMat-Bulk. Energies are from PBE. Values from VASP.

Computed properties:
energy = -2.611 eV per atom
offset from the most stable computed form = 0 meV/atom
total magnetic moment = 0.00 μB per formula unit

```
&SYSTEM
  ibrav = 0, nat = 5, ntyp = 4
/
ATOMIC_SPECIES
I 126.90 I.upf
Sb 121.76 Sb.upf
As 74.92 As.upf
F 19.00 F.upf
CELL_PARAMETERS angstrom
-2.082 2.978 -4.564
4.361 -2.021 -3.308
-2.358 -3.312 -1.085
ATOMIC_POSITIONS angstrom
I 2.180 -1.010 -1.654
I -1.041 1.489 -2.282
Sb -1.179 -1.656 -0.543
As -0.040 -1.177 -4.479
F 0.000 0.000 0.000
```



Entry 13:
Here is a geometry-optimized AsSe2IF structure from Alexandria via LeMat-Bulk. Energies are from PBE. Values from VASP.

Computed properties:
energy = -2.099 eV per atom
offset from the most stable computed form = 479 meV/atom
total magnetic moment = 1.21 μB per formula unit

```
&SYSTEM
  ibrav = 0, nat = 5, ntyp = 4
/
ATOMIC_SPECIES
I 126.90 I.upf
As 74.92 As.upf
Se 78.96 Se.upf
F 19.00 F.upf
CELL_PARAMETERS angstrom
5.357 0.000 0.000
0.000 5.357 0.000
0.000 0.000 5.631
ATOMIC_POSITIONS angstrom
I 0.000 0.000 0.000
As 0.000 0.000 2.816
Se 0.000 2.678 0.000
Se 2.678 0.000 0.000
F 2.678 2.678 2.816
```



Entry 14:
Here is a geometry-optimized AsSe2IF structure from Alexandria via LeMat-Bulk. Energies are from PBE. Values from VASP.

Computed properties:
energy = -2.577 eV per atom
offset from the most stable computed form = 0 meV/atom
total magnetic moment = 0.00 μB per formula unit

```
&SYSTEM
  ibrav = 0, nat = 5, ntyp = 4
/
ATOMIC_SPECIES
I 126.90 I.upf
As 74.92 As.upf
Se 78.96 Se.upf
F 19.00 F.upf
CELL_PARAMETERS angstrom
5.510 0.000 0.000
0.000 5.510 0.000
0.000 0.000 3.901
ATOMIC_POSITIONS angstrom
I 2.755 2.755 1.951
As 0.000 0.000 1.951
Se 0.000 2.755 0.000
Se 2.755 0.000 0.000
F 0.000 0.000 0.000
```



Entry 15:
Here is a geometry-optimized AsSe6IF6 structure from Alexandria via LeMat-Bulk. Energies are from PBE. Values from VASP.

Computed properties:
energy = -3.844 eV per atom
total magnetic moment = 0.00 μB per formula unit

```
&SYSTEM
  ibrav = 0, nat = 28, ntyp = 4
/
ATOMIC_SPECIES
As 74.92 As.upf
F 19.00 F.upf
I 126.90 I.upf
Se 78.96 Se.upf
CELL_PARAMETERS angstrom
7.196 0.000 0.000
0.000 9.350 0.004
0.000 3.347 10.348
ATOMIC_POSITIONS angstrom
As 0.000 0.000 0.000
As 0.000 6.349 5.176
F 5.713 9.265 0.982
F 5.713 6.434 4.198
F 1.484 3.433 9.370
F 1.484 6.263 6.154
F 6.527 11.466 9.250
F 6.527 7.580 6.278
F 0.669 1.231 1.102
F 0.669 5.117 4.074
F 0.717 8.067 0.999
F 0.717 7.632 4.181
F 6.480 4.630 9.353
F 6.480 5.066 6.171
I 2.006 9.523 7.764
I 5.190 3.174 2.588
Se 4.103 3.436 6.373
Se 4.103 6.260 9.151
Se 3.093 9.261 3.979
Se 3.093 6.438 1.201
Se 1.848 2.545 6.354
Se 1.848 7.151 9.170
Se 5.348 10.152 3.999
Se 5.348 5.547 1.182
Se 1.734 1.782 4.048
Se 1.734 4.566 1.128
Se 5.463 10.915 6.305
Se 5.463 8.131 9.224
```



Entry 16:
Here is a geometry-optimized Tl2AsI2F4 structure from Alexandria via LeMat-Bulk. Energies are from PBE. Values from VASP.

Computed properties:
energy = -3.611 eV per atom
total magnetic moment = 0.00 μB per formula unit

```
&SYSTEM
  ibrav = 0, nat = 9, ntyp = 4
/
ATOMIC_SPECIES
Tl 204.38 Tl.upf
As 74.92 As.upf
I 126.90 I.upf
F 19.00 F.upf
CELL_PARAMETERS angstrom
6.727 0.166 0.239
-3.084 5.981 -0.239
-3.084 -2.325 5.515
ATOMIC_POSITIONS angstrom
Tl 0.280 3.987 1.319
Tl 0.280 -0.166 4.196
As 0.000 0.000 0.000
I -4.234 2.510 3.622
I -1.933 1.146 1.654
F -3.084 4.382 0.869
F -0.843 3.054 4.408
F -3.084 -0.726 4.408
F 1.402 0.767 1.108
```